SiGeRuCl2 after structural relaxation. Source: the Alexandria database, functional PBE-GGA.

Properties
E_form (uncorrected) = 0.66 eV per atom
Magnetization = 1.4 μB/cell

a b c (Å): 4.6836 4.6836 4.9175
angles (deg): 90.00 90.00 90.00
Last column: nearest neighbours and their distance in Å.
Space group P4/mmm (No. 123)
One atom of each set of equivalent atoms:
1 Si 0.0000 0.0000 0.0000 (multiplicity 1)  4 Cl 2.34, 2 Ru 2.46
2 Ge 0.5000 0.5000 0.5000 (multiplicity 1)  4 Ru 3.31, 8 Cl 3.40
3 Ru 0.0000 0.0000 0.5000 (multiplicity 1)  2 Si 2.46
4 Cl 0.0000 0.5000 0.0000 (multiplicity 2)  2 Si 2.34

=====

Sm6GeRu2Cl3 after structural relaxation. Source: the Alexandria database, functional PBE-GGA.

Properties
E_form (uncorrected) = -0.99 eV per atom
Magnetization = 0.0 μB/cell

a b c (Å): 7.1099 12.3433 7.7365
angles (deg): 90.00 107.89 90.00
Last column: nearest neighbours and their distance in Å.
Space group C2/m (No. 12)
One atom of each set of equivalent atoms:
1 Sm 0.2161 0.0000 0.2090 (multiplicity 4)  2 Ru 2.77, 1 Ge 2.95, 1 Cl 3.09
2 Sm 0.2450 0.3233 0.2083 (multiplicity 8)  2 Ru 2.77, 1 Ge 2.94
3 Ge 0.0000 0.5000 0.0000 (multiplicity 2)  6 Sm 2.94-2.95
4 Ru 0.0000 0.1665 0.0000 (multiplicity 4)  6 Sm 2.77
5 Cl 0.0000 0.0000 0.5000 (multiplicity 2)  6 Sm 3.09-3.26
6 Cl 0.0000 0.3344 0.5000 (multiplicity 4)  6 Sm 3.11-3.25

=====

TaGe2RuCl after structural relaxation. Source: the Alexandria database, functional PBE-GGA.

Properties
E_form (uncorrected) = 1.06 eV per atom
Magnetization = 2.6 μB/cell

a b c (Å): 4.7350 4.7350 4.8309
angles (deg): 90.00 90.00 90.00
Last column: nearest neighbours and their distance in Å.
Space group P4/mmm (No. 123)
One atom of each set of equivalent atoms:
1 Ta 0.0000 0.0000 0.0000 (multiplicity 1)  4 Cl 3.35, 8 Ge 3.38
2 Ge 0.0000 0.5000 0.5000 (multiplicity 2)  2 Ru 2.37
3 Ru 0.5000 0.5000 0.5000 (multiplicity 1)  4 Ge 2.37, 2 Cl 2.42
4 Cl 0.5000 0.5000 0.0000 (multiplicity 1)  2 Ru 2.42

=====

GeTeRuCl2 after structural relaxation. Source: the Alexandria database, functional PBE-GGA.

Properties
E_form (uncorrected) = 0.82 eV per atom
Magnetization = 0.7 μB/cell

a b c (Å): 5.3764 5.3764 5.0314
angles (deg): 90.00 90.00 90.00
Last column: nearest neighbours and their distance in Å.
Space group P4/mmm (No. 123)
One atom of each set of equivalent atoms:
1 Ge 0.0000 0.0000 0.0000 (multiplicity 1)  8 Cl 3.68, 4 Ru 3.80
2 Te 0.5000 0.5000 0.5000 (multiplicity 1)  2 Ru 2.52, 4 Cl 2.69
3 Ru 0.5000 0.5000 0.0000 (multiplicity 1)  2 Te 2.52
4 Cl 0.0000 0.5000 0.5000 (multiplicity 2)  2 Te 2.69

=====

> Look up the magnetization of the second one.

0.0 μB/cell